[1]
# Y3Pb5

Y3Pb5 at its PBEsol-relaxed geometry (meta-GGA SCAN, the Alexandria database).

a b c (Å): 9.219 10.192 4.621
angles (deg): 90.00 90.00 90.00
Space group Cmmm (No. 65)
One atom of each set of equivalent atoms:
1 Y 0.000 0.000 0.000 [2 per cell]
2 Y 0.000 0.280 0.500 [4 per cell]
3 Pb 0.000 0.500 0.000 [2 per cell]
4 Pb 0.229 0.000 0.500 [4 per cell]
5 Pb 0.250 0.250 0.000 [4 per cell]

calculated total energy: -58.40 eV/atom

---

[2]
# YPb3

YPb3 at its PBEsol-relaxed geometry (meta-GGA SCAN, the Alexandria database).

a b c (Å): 7.061 8.816 3.598
angles (deg): 90.00 90.00 90.00
Space group Cmmm (No. 65)
One atom of each set of equivalent atoms:
1 Y 0.000 0.000 0.000 [2 per cell]
2 Pb 0.000 0.500 0.000 [2 per cell]
3 Pb 0.250 0.250 0.500 [4 per cell]

calculated total energy: -64.16 eV/atom

---

[3]
# Y5Pb

Y5Pb at its PBEsol-relaxed geometry (meta-GGA SCAN, the Alexandria database).

a b c (Å): 4.795 14.908 4.826
angles (deg): 90.00 90.00 90.00
Space group Cmmm (No. 65)
One atom of each set of equivalent atoms:
1 Y 0.000 0.000 0.000 [2 per cell]
2 Y 0.000 0.162 0.500 [4 per cell]
3 Y 0.000 0.332 0.000 [4 per cell]
4 Pb 0.000 0.500 0.500 [2 per cell]

calculated total energy: -36.11 eV/atom

---

[4]
# YPb3

YPb3 at its PBEsol-relaxed geometry (meta-GGA SCAN, the Alexandria database).

a b c (Å): 4.792 4.792 4.792
angles (deg): 90.00 90.00 90.00
Space group Pm-3m (No. 221)
One atom of each set of equivalent atoms:
1 Y 0.000 0.000 0.000 [1 per cell]
2 Pb 0.000 0.500 0.500 [3 per cell]

calculated total energy: -64.24 eV/atom

---

[5]
# YZnPb2

YZnPb2 at its PBEsol-relaxed geometry (meta-GGA SCAN, the Alexandria database).

a b c (Å): 4.459 4.459 9.800
angles (deg): 90.00 90.00 90.00
Space group I4/mmm (No. 139)
One atom of each set of equivalent atoms:
1 Y 0.000 0.000 0.000 [2 per cell]
2 Zn 0.000 0.000 0.500 [2 per cell]
3 Pb 0.000 0.500 0.250 [4 per cell]

calculated total energy: -48.58 eV/atom

---

[6]
# Y3ZnPb

Y3ZnPb at its PBEsol-relaxed geometry (meta-GGA SCAN, the Alexandria database).

a b c (Å): 5.666 5.666 5.666
angles (deg): 90.00 90.00 90.00
Space group Pm-3m (No. 221)
One atom of each set of equivalent atoms:
1 Y 0.000 0.000 0.500 [3 per cell]
2 Zn 0.500 0.500 0.500 [1 per cell]
3 Pb 0.000 0.000 0.000 [1 per cell]

calculated total energy: -34.26 eV/atom

---

Question: What is the calculated total energy in the sixth record?
Answer: -34.26 eV/atom

---

Question: The highest calculated total energy belongs to which entry?
Answer: Y3ZnPb